Record 1
Ho3HfRh4 | the Alexandria database | PBE-GGA | optimized geometry; Fermi-level density of states = 4.1 states/eV per cell; total DFT energy (no corrections) = -7.55 eV/atom; formation energy from the elements = -0.909 eV per atom
1.0
-2.870 1.017 1.347
0.279 -2.335 2.358
6.947 8.949 8.040
Hf Ho Rh
1 3 4
direct
0.500 0.500 0.000
0.500 0.500 0.500
0.500 0.500 0.754
0.500 0.500 0.246
0.000 0.000 0.372
0.000 0.000 0.890
0.000 0.000 0.628
0.000 0.000 0.110

---

Record 2
Tl2Ag5Te3 | the Alexandria database | PBE-GGA | optimized geometry; formation energy without anion corrections = -65 meV per atom; Fermi-level density of states = 3.3 states/eV per cell; total DFT energy (no corrections) = -2.91 eV/atom
1.0
-0.779 -3.050 -3.456
-6.335 -3.172 4.228
-8.049 10.436 -4.233
Ag Te Tl
10 6 4
direct
0.613 0.991 0.226
0.053 0.520 0.105
0.947 0.020 0.895
0.713 0.474 0.426
0.717 0.019 0.434
0.287 0.974 0.574
0.387 0.491 0.774
0.114 0.223 0.229
0.283 0.519 0.566
0.886 0.723 0.771
0.052 0.945 0.105
0.391 0.962 0.782
0.219 0.231 0.438
0.609 0.462 0.218
0.781 0.731 0.562
0.948 0.445 0.895
0.170 0.782 0.340
0.830 0.282 0.660
0.505 0.218 0.009
0.495 0.718 0.991

---

Record 3
V2AsCl | the Alexandria database | PBE-GGA | optimized geometry; formation energy without anion corrections = 61 meV per atom; Fermi-level density of states = 5.7 states/eV per cell; total DFT energy (no corrections) = -6.12 eV/atom; offset from the most stable computed form = 59 meV/atom
1.0
5.559 0.000 0.000
0.000 5.559 0.000
2.779 2.779 5.656
V Cl As
4 2 2
direct
0.129 0.625 0.250
0.621 0.125 0.250
0.875 0.871 0.750
0.375 0.379 0.750
0.500 0.500 0.000
0.250 0.750 0.500
0.750 0.250 0.500
0.000 0.000 0.000

---

Record 4
DyVB | the Alexandria database | PBE-GGA | optimized geometry; Fermi-level density of states = 7.8 states/eV per cell; total DFT energy (no corrections) = -6.77 eV/atom; formation energy from the elements = 0.032 eV per atom
1.0
3.835 0.000 0.000
0.000 5.223 -0.221
0.000 -2.393 5.342
B V Dy
2 2 2
direct
0.250 0.348 0.195
0.750 0.652 0.805
0.250 0.563 0.626
0.750 0.437 0.374
0.250 0.846 0.192
0.750 0.154 0.808

---

Record 5
DyUIn | the Alexandria database | PBE-GGA | optimized geometry; Fermi-level density of states = 9.5 states/eV per cell; total DFT energy (no corrections) = -6.31 eV/atom; formation energy from the elements = -0.100 eV per atom
1.0
3.583 0.000 0.000
0.000 5.320 0.175
-1.792 -0.890 8.186
Dy U In
2 2 2
direct
0.089 0.313 0.178
0.911 0.687 0.822
0.757 0.171 0.515
0.243 0.829 0.485
0.422 0.181 0.845
0.578 0.819 0.155

---

Record 6
RbAl2Ni | the Alexandria database | PBE-GGA | optimized geometry; Fermi-level density of states = 3.5 states/eV per cell; total DFT energy (no corrections) = -2.81 eV/atom; formation energy from the elements = 0.753 eV per atom; offset from the most stable computed form = 613 meV/atom
1.0
-1.500 0.163 4.665
-2.685 3.786 1.581
-4.741 -0.637 1.075
Al Ni Rb
2 1 1
direct
0.250 0.250 0.250
0.750 0.750 0.750
0.000 0.000 0.000
0.500 0.500 0.500

---

Record 7
TlZnCdIn | the Alexandria database | PBE-GGA | optimized geometry; Fermi-level density of states = 1.6 states/eV per cell; total DFT energy (no corrections) = -1.68 eV/atom; formation energy from the elements = 0.144 eV per atom
1.0
5.200 0.000 0.000
2.600 4.503 0.000
2.600 1.501 4.245
In Cd Zn Tl
1 1 1 1
direct
0.500 0.500 0.500
0.250 0.250 0.250
0.750 0.750 0.750
0.000 0.000 0.000

---

Record 8
PmSb2As | the Alexandria database | PBE-GGA | optimized geometry; formation energy without anion corrections = -488 meV per atom; Fermi-level density of states = 2.1 states/eV per cell; total DFT energy (no corrections) = -4.90 eV/atom; offset from the most stable computed form = 0 meV/atom
1.0
-1.426 2.671 -4.443
-1.202 -3.779 -1.886
-4.060 0.493 1.600
Pm As Sb
1 1 2
direct
0.500 0.500 0.500
0.500 0.000 0.000
0.000 0.500 0.000
0.000 0.000 0.500

---

Record 9
PuTl2BiO8 | the Alexandria database | PBE-GGA | optimized geometry; formation energy without anion corrections = -1344 meV per atom; Fermi-level density of states = 2.4 states/eV per cell; total DFT energy (no corrections) = -6.56 eV/atom
1.0
-0.143 -4.535 -2.638
3.604 -1.801 3.353
-5.021 -2.271 4.177
Pu O Tl Bi
1 8 2 1
direct
0.000 0.000 0.000
0.310 0.308 0.500
0.690 0.692 0.500
0.825 0.177 0.213
0.175 0.823 0.213
0.296 0.294 0.000
0.825 0.177 0.787
0.704 0.706 0.000
0.175 0.823 0.787
0.500 0.500 0.751
0.500 0.500 0.249
0.000 0.000 0.500

---

Record 10
TbCeDy2Sb4 | the Alexandria database | PBE-GGA | optimized geometry; formation energy without anion corrections = -1114 meV per atom; Fermi-level density of states = 7.6 states/eV per cell; total DFT energy (no corrections) = -5.65 eV/atom
1.0
-4.196 1.117 -0.809
-1.867 -1.805 7.192
0.785 6.170 4.452
Dy Ce Tb Sb
2 1 1 4
direct
0.500 0.000 0.500
0.000 0.000 0.000
0.500 0.500 0.000
0.000 0.500 0.500
0.000 0.246 0.254
0.500 0.752 0.251
0.500 0.248 0.749
0.000 0.754 0.746

---

Record 11
MgMn3Pb | the Alexandria database | PBE-GGA | optimized geometry; Fermi-level density of states = 2.6 states/eV per cell; total DFT energy (no corrections) = -5.45 eV/atom; formation energy from the elements = 1.112 eV per atom; offset from the most stable computed form = 0 meV/atom
1.0
4.774 0.000 0.000
0.000 4.774 0.000
0.000 0.000 4.774
Pb Mg Mn
1 1 3
direct
0.500 0.500 0.500
0.000 0.000 0.000
0.500 0.000 0.000
0.000 0.000 0.500
0.000 0.500 0.000

---

Record 12
InNi | the Alexandria database | PBE-GGA | optimized geometry; Fermi-level density of states = 1.0 states/eV per cell; total DFT energy (no corrections) = -3.65 eV/atom; formation energy from the elements = 0.614 eV per atom
1.0
4.117 0.000 0.000
2.059 3.566 0.000
2.059 1.189 3.362
Ni In
1 1
direct
0.750 0.750 0.750
0.000 0.000 0.000

---

Record 13
Ti6NbBi3 | the Alexandria database | PBE-GGA | optimized geometry; Fermi-level density of states = 18.0 states/eV per cell; total DFT energy (no corrections) = -6.88 eV/atom; formation energy from the elements = 0.029 eV per atom
1.0
7.020 0.000 0.000
0.000 8.078 -0.332
0.000 -2.126 7.801
Bi Ti Nb
6 12 2
direct
0.503 0.252 0.092
0.003 0.092 0.252
0.503 0.908 0.748
0.330 0.414 0.586
0.830 0.586 0.414
0.003 0.748 0.908
0.313 0.026 0.483
0.163 0.173 0.827
0.313 0.517 0.974
0.663 0.827 0.173
0.813 0.974 0.517
0.657 0.588 0.751
0.813 0.483 0.026
0.099 0.749 0.251
0.157 0.751 0.588
0.599 0.251 0.749
0.157 0.412 0.249
0.657 0.249 0.412
0.948 0.348 0.652
0.448 0.652 0.348

---

Record 14
Ba2GaPt2 | the Alexandria database | PBE-GGA | optimized geometry; Fermi-level density of states = 2.2 states/eV per cell; total DFT energy (no corrections) = -4.40 eV/atom; formation energy from the elements = -0.608 eV per atom
1.0
-3.120 0.640 5.416
-5.104 -2.539 -2.641
-2.940 -4.436 2.475
Pt Ga Ba
2 1 2
direct
0.323 0.323 0.355
0.677 0.677 0.645
0.000 0.000 0.000
0.750 0.250 0.500
0.250 0.750 0.500

---

Record 15
Ca6Ge3H | the Alexandria database | PBE-GGA | optimized geometry; Fermi-level density of states = 10.9 states/eV per cell; total DFT energy (no corrections) = -3.37 eV/atom
1.0
7.006 0.000 0.095
0.000 7.877 0.000
0.215 0.000 9.971
Ge Ca H
6 12 2
direct
0.500 0.500 0.000
0.536 0.882 0.766
0.464 0.118 0.234
0.036 0.618 0.266
0.000 0.000 0.500
0.964 0.382 0.734
0.855 0.960 0.237
0.679 0.176 0.933
0.153 0.325 0.067
0.821 0.676 0.567
0.321 0.824 0.067
0.145 0.040 0.763
0.347 0.825 0.433
0.179 0.324 0.433
0.355 0.540 0.737
0.645 0.460 0.263
0.847 0.675 0.933
0.653 0.175 0.567
0.000 0.000 0.000
0.500 0.500 0.500

---

Record 16
Ac8SnIr2 | the Alexandria database | PBE-GGA | optimized geometry; Fermi-level density of states = 11.7 states/eV per cell; total DFT energy (no corrections) = -5.29 eV/atom; formation energy from the elements = -0.330 eV per atom
1.0
-2.636 5.446 1.120
1.642 -2.067 8.191
6.811 3.008 -4.313
Ac Ir Sn
8 2 1
direct
0.087 0.335 0.074
0.703 0.385 0.385
0.913 0.926 0.665
0.500 0.246 0.754
0.087 0.074 0.335
0.297 0.615 0.615
0.913 0.665 0.926
0.500 0.754 0.246
0.000 0.703 0.297
0.000 0.297 0.703
0.500 0.000 0.000

---

Record 17
Cr5Pb | the Alexandria database | PBE-GGA | optimized geometry; Fermi-level density of states = 7.2 states/eV per cell; total DFT energy (no corrections) = -8.15 eV/atom; formation energy from the elements = 0.486 eV per atom; offset from the most stable computed form = 135 meV/atom
1.0
-1.913 -3.468 -2.853
-4.668 -1.314 0.552
-3.287 1.182 -3.408
Cr Pb
5 1
direct
0.250 0.250 0.250
0.625 0.625 0.625
0.625 0.625 0.124
0.124 0.625 0.625
0.625 0.124 0.625
0.000 0.000 0.000

---

Record 18
Ac2La5PmTm | the Alexandria database | PBE-GGA | optimized geometry; Fermi-level density of states = 27.2 states/eV per cell; total DFT energy (no corrections) = -4.57 eV/atom; formation energy from the elements = 0.102 eV per atom
1.0
5.681 0.000 0.000
-2.841 11.341 0.000
0.000 0.000 10.652
Ac Pm La Tm
4 2 10 2
direct
0.885 0.771 0.244
0.885 0.771 0.772
0.115 0.229 0.744
0.115 0.229 0.272
0.213 0.426 0.008
0.787 0.574 0.508
0.723 0.445 0.819
0.500 0.000 0.758
0.500 0.000 0.258
0.006 0.011 0.008
0.277 0.555 0.697
0.723 0.445 0.197
0.994 0.989 0.508
0.623 0.247 0.508
0.277 0.555 0.319
0.377 0.753 0.008
0.603 0.206 0.008
0.397 0.794 0.508

---

Record 19
YPa2Co9 | the Alexandria database | PBE-GGA | optimized geometry; Fermi-level density of states = 16.1 states/eV per cell; total DFT energy (no corrections) = -7.69 eV/atom; formation energy from the elements = -0.241 eV per atom
1.0
4.877 0.000 0.000
2.439 4.224 0.000
2.439 1.408 8.198
Co Pa Y
9 2 1
direct
0.419 0.917 0.245
0.419 0.419 0.245
0.581 0.083 0.755
0.083 0.581 0.755
0.500 0.500 0.500
0.333 0.333 0.002
0.917 0.419 0.245
0.581 0.581 0.755
0.667 0.667 0.998
0.862 0.862 0.415
0.138 0.138 0.585
0.000 0.000 0.000

---

Record 20
Zr2Nb2Ag | the Alexandria database | PBE-GGA | optimized geometry; Fermi-level density of states = 10.1 states/eV per cell; total DFT energy (no corrections) = -7.77 eV/atom; formation energy from the elements = 0.250 eV per atom
1.0
-4.923 5.349 0.965
-1.615 -0.197 -7.151
-2.752 -2.658 0.695
Zr Nb Ag
4 4 2
direct
0.829 0.329 0.500
0.171 0.671 0.500
0.671 0.829 0.500
0.329 0.171 0.500
0.872 0.628 0.000
0.628 0.128 0.000
0.128 0.372 0.000
0.372 0.872 0.000
0.000 0.000 0.000
0.500 0.500 0.000